<w>
NbV3Mo4: optimized geometry, GGA-PBE.

```
NbV3Mo4
1.0
-1.634 -3.903 -1.251
5.500 -1.503 -2.493
2.523 -3.522 7.692
Nb Mo V
2 8 6
Direct
0.000 0.500 0.500
0.000 0.500 0.000
0.500 0.756 0.000
0.000 0.756 0.750
0.500 0.756 0.500
0.500 0.244 0.500
0.000 0.244 0.750
0.000 0.756 0.250
0.000 0.244 0.250
0.500 0.244 0.000
0.500 0.500 0.750
0.500 0.000 0.250
0.000 0.000 0.500
0.500 0.000 0.750
0.000 0.000 0.000
0.500 0.500 0.250
```

---

<x>
NbV3Mo4: optimized geometry, GGA-PBE.

```
NbV3Mo4
1.0
-1.886 3.668 -2.969
-4.742 -0.672 2.182
2.106 6.378 6.541
V Mo Nb
6 8 2
Direct
0.120 0.925 0.757
0.620 0.075 0.257
0.130 0.200 0.500
0.620 0.075 0.743
0.630 0.800 0.000
0.120 0.925 0.243
0.629 0.586 0.237
0.633 0.270 0.500
0.377 0.249 0.000
0.877 0.751 0.500
0.129 0.414 0.263
0.129 0.414 0.737
0.133 0.730 0.000
0.629 0.586 0.763
0.877 0.256 0.000
0.377 0.744 0.500
```

---

Of them, the most stable is <w> and the least stable is <x>.